The following is a DFT calculation (PBE with a Hubbard U) of a geometry-optimized CaFe4O9 structure.

symmetry = P4/n
energy = -0.449 Ry per atom
total magnetic moment = 32.0 Bohr magnetons per cell
DOS at the Fermi energy = 3.7 states/eV per cell

Structure (CIF):
```
data_CaFe4O9
_symmetry_space_group_name_H-M 'P 1'
_symmetry_Int_Tables_number 1
_cell_length_a 8.3715
_cell_length_b 8.3715
_cell_length_c 5.9072
_cell_angle_alpha 90.00
_cell_angle_beta 90.00
_cell_angle_gamma 90.00
loop_
_symmetry_equiv_pos_as_xyz
'x,y,z'
loop_
_atom_site_label
_atom_site_fract_x
_atom_site_fract_y
_atom_site_fract_z
_atom_site_occupancy
Ca1 0.0000 0.5000 0.8332 1
Ca2 0.5000 0.0000 0.1668 1
Fe1 0.9162 0.2256 0.4156 1
Fe2 0.7744 0.9162 0.5844 1
Fe3 0.2744 0.4162 0.4156 1
Fe4 0.4162 0.7256 0.5844 1
Fe5 0.0838 0.7744 0.4156 1
Fe6 0.7256 0.5838 0.4156 1
Fe7 0.5838 0.2744 0.5844 1
Fe8 0.2256 0.0838 0.5844 1
O1 0.0000 0.0000 0.5000 1
O2 0.5000 0.5000 0.5000 1
O3 0.3141 0.0455 0.8685 1
O4 0.5455 0.1859 0.8685 1
O5 0.4545 0.8141 0.8685 1
O6 0.6859 0.9545 0.8685 1
O7 0.1859 0.4545 0.1315 1
O8 0.9545 0.3141 0.1315 1
O9 0.0455 0.6859 0.1315 1
O10 0.8141 0.5455 0.1315 1
O11 0.8885 0.7080 0.5857 1
O12 0.2080 0.6115 0.5857 1
O13 0.7920 0.3885 0.5857 1
O14 0.1115 0.2920 0.5857 1
O15 0.3885 0.2080 0.4143 1
O16 0.2920 0.8885 0.4143 1
O17 0.7080 0.1115 0.4143 1
O18 0.6115 0.7920 0.4143 1
```